The following is a PBE calculation of a geometry-optimized ZnNi2Mo structure, from the Alexandria database.

Lattice parameters (Å, degrees): 8.638 8.638 8.638 17.74 17.74 17.74
Fractional positions:
Mo 0.745 0.745 0.745
Ni 0.997 0.997 0.997
Ni 0.252 0.252 0.252
Zn 0.506 0.506 0.506

Its energy is -5.84 eV/atom. The density of states at the Fermi level comes out at 0.43 states/eV/atom. Its crystal system is trigonal.